PaTi4Bi2 | GGA-PBE | relaxed

Values from the calculation:
M_tot = 0.00 μB per atom
mass density = 9.07 g cm⁻³
DFT formation energy = -0.014 eV/atom
D(E_F) = 7.310 states/eV/f.u.

The structure in CIF format:
```
data_PaTi4Bi2
_chemical_formula_sum 'Pa4 Ti16 Bi8'
_cell_length_a 13.356
_cell_length_b 6.988
_cell_length_c 7.590
_cell_angle_alpha 90.00
_cell_angle_beta 119.72
_cell_angle_gamma 90.00
_symmetry_space_group_name_H-M 'C 1 2 1'
_symmetry_Int_Tables_number 5
_symmetry_space_group_name_Hall 'C 2y'
loop_
_atom_site_label
_atom_site_type_symbol
_atom_site_fract_x
_atom_site_fract_y
_atom_site_fract_z
Pa1 Pa 0.233 0.000 0.470
Ti1 Ti 0.031 0.339 0.214
Ti2 Ti 0.033 0.704 0.340
Ti3 Ti 0.125 0.614 0.079
Ti4 Ti 0.131 0.437 0.669
Bi1 Bi 0.000 0.081 0.500
Bi2 Bi 0.000 0.967 0.000
Bi3 Bi 0.247 0.278 0.119
```